WSe2I | PBE | optimized geometry

a = 4.8313 Å, b = 4.8313 Å, c = 4.8313 Å
α = 60.00°, β = 60.00°, γ = 60.00°
Sites, in units of the cell vectors:
W1 0.0000 0.0000 0.0000
Se1 0.2500 0.2500 0.2500
Se2 0.7500 0.7500 0.7500
I1 0.5000 0.5000 0.5000

## Properties
* N(E_F): 2.0 states/eV per cell
* ΔE_f (raw): 4.0 eV per formula unit
* E_tot: -4.361 eV/atom
* space group: Fm-3m

=====

Be2Tl4Fe | PBE | optimized geometry

a = 7.1234 Å, b = 7.1234 Å, c = 7.1234 Å
α = 136.53°, β = 136.53°, γ = 63.16°
Sites, in units of the cell vectors:
Be1 0.0872 0.0872 0.0000
Be2 0.9128 0.9128 0.0000
Tl1 0.0000 0.5000 0.5000
Tl2 0.2880 0.2880 0.0000
Tl3 0.5000 0.0000 0.5000
Tl4 0.7120 0.7120 0.0000
Fe1 0.5000 0.5000 0.0000

## Properties
* N(E_F): 6.0 states/eV per cell
* ΔE_f: 676 meV/atom
* E_tot: -2.950 eV/atom
* space group: I4/mmm

=====

Ti15Al2Ga2 | PBE | optimized geometry

a = 7.0747 Å, b = 7.0747 Å, c = 7.0747 Å
α = 77.81°, β = 77.81°, γ = 77.81°
Sites, in units of the cell vectors:
Ti1 0.0000 0.0000 0.5000
Ti2 0.0000 0.3015 0.6985
Ti3 0.0000 0.5000 0.0000
Ti4 0.0000 0.6985 0.3015
Ti5 0.1596 0.6232 0.6232
Ti6 0.3015 0.0000 0.6985
Ti7 0.3015 0.6985 0.0000
Ti8 0.3768 0.3768 0.8404
Ti9 0.3768 0.8404 0.3768
Ti10 0.5000 0.0000 0.0000
Ti11 0.6232 0.1596 0.6232
Ti12 0.6232 0.6232 0.1596
Ti13 0.6985 0.0000 0.3015
Ti14 0.6985 0.3015 0.0000
Ti15 0.8404 0.3768 0.3768
Al1 0.3048 0.3048 0.3048
Al2 0.6952 0.6952 0.6952
Ga1 0.0935 0.0935 0.0935
Ga2 0.9065 0.9065 0.9065

## Properties
* N(E_F): 25.6 states/eV per cell
* ΔE_f: 171 meV/atom
* E_tot: -6.774 eV/atom
* space group: R-3m

=====

Ac2CeSb3 | PBE | optimized geometry

a = 8.1546 Å, b = 8.1546 Å, c = 8.1546 Å
α = 146.46°, β = 131.73°, γ = 60.06°
Sites, in units of the cell vectors:
Ac1 0.1685 0.1685 0.0000
Ac2 0.8315 0.8315 0.0000
Ce1 0.5000 0.5000 0.0000
Sb1 0.0000 0.5000 0.5000
Sb2 0.3430 0.8430 0.5000
Sb3 0.6570 0.1570 0.5000

## Properties
* N(E_F): 6.5 states/eV per cell
* ΔE_f (raw): -6.9 eV per formula unit
* E_tot: -5.562 eV/atom
* space group: Immm

=====

Ba4PbAu | PBE | optimized geometry

a = 7.1245 Å, b = 7.1245 Å, c = 7.1245 Å
α = 60.00°, β = 60.00°, γ = 60.00°
Sites, in units of the cell vectors:
Ba1 0.1247 0.1247 0.1247
Ba2 0.1247 0.1247 0.6260
Ba3 0.1247 0.6260 0.1247
Ba4 0.6260 0.1247 0.1247
Pb1 0.7500 0.7500 0.7500
Au1 0.5000 0.5000 0.5000

## Properties
* N(E_F): 5.0 states/eV per cell
* ΔE_f: 229 meV/atom
* E_tot: -2.217 eV/atom
* space group: F-43m

=====

SrCa2InSe | PBE | optimized geometry

a = 5.5363 Å, b = 5.5363 Å, c = 5.8989 Å
α = 90.00°, β = 90.00°, γ = 90.00°
Sites, in units of the cell vectors:
Sr1 0.0000 0.0000 0.0000
Ca1 0.0000 0.5000 0.5000
Ca2 0.5000 0.0000 0.5000
In1 0.5000 0.5000 0.0000
Se1 0.0000 0.0000 0.5000

## Properties
* N(E_F): 5.0 states/eV per cell
* ΔE_f (raw): -4.0 eV per formula unit
* E_tot: -3.177 eV/atom
* space group: P4/mmm

=====

ThCu7Au12 | PBE | optimized geometry

a = 8.1592 Å, b = 8.1592 Å, c = 8.1592 Å
α = 109.47°, β = 109.47°, γ = 109.47°
Sites, in units of the cell vectors:
Th1 0.0000 0.0000 0.0000
Cu1 0.0000 0.0000 0.5000
Cu2 0.0000 0.5000 0.0000
Cu3 0.0000 0.5000 0.5000
Cu4 0.5000 0.0000 0.0000
Cu5 0.5000 0.0000 0.5000
Cu6 0.5000 0.5000 0.0000
Cu7 0.5000 0.5000 0.5000
Au1 0.1217 0.2837 0.8380
Au2 0.1620 0.4457 0.2837
Au3 0.1620 0.8783 0.7163
Au4 0.2837 0.1620 0.4457
Au5 0.2837 0.8380 0.1217
Au6 0.4457 0.2837 0.1620
Au7 0.5543 0.7163 0.8380
Au8 0.7163 0.1620 0.8783
Au9 0.7163 0.8380 0.5543
Au10 0.8380 0.1217 0.2837
Au11 0.8380 0.5543 0.7163
Au12 0.8783 0.7163 0.1620

## Properties
* N(E_F): 9.0 states/eV per cell
* ΔE_f: 210 meV/atom
* E_tot: -3.561 eV/atom
* space group: Im-3

=====

CaSc3N | PBE | optimized geometry

a = 5.0114 Å, b = 5.0114 Å, c = 5.0114 Å
α = 90.00°, β = 90.00°, γ = 90.00°
Sites, in units of the cell vectors:
Ca1 0.0000 0.0000 0.0000
Sc1 0.0000 0.0000 0.5000
Sc2 0.0000 0.5000 0.0000
Sc3 0.5000 0.0000 0.0000
N1 0.5000 0.5000 0.5000

## Properties
* N(E_F): 6.9 states/eV per cell
* ΔE_f (raw): 11.1 eV per formula unit
* E_tot: -3.651 eV/atom
* space group: Pm-3m

=====

TbCeTmHg | PBE | optimized geometry

a = 5.3053 Å, b = 5.3053 Å, c = 5.3053 Å
α = 60.00°, β = 60.00°, γ = 60.00°
Sites, in units of the cell vectors:
Tb1 0.0000 0.0000 0.0000
Ce1 0.2500 0.2500 0.2500
Tm1 0.5000 0.5000 0.5000
Hg1 0.7500 0.7500 0.7500

## Properties
* N(E_F): 7.7 states/eV per cell
* ΔE_f: 17 meV/atom
* E_tot: -3.817 eV/atom
* space group: F-43m

=====

GaSiAs2Se | PBE | optimized geometry

a = 4.8040 Å, b = 4.8040 Å, c = 4.9448 Å
α = 90.00°, β = 90.00°, γ = 90.00°
Sites, in units of the cell vectors:
Ga1 0.0000 0.0000 0.0000
Si1 0.5000 0.5000 0.5000
As1 0.0000 0.5000 0.5000
As2 0.5000 0.0000 0.5000
Se1 0.5000 0.5000 0.0000

## Properties
* N(E_F): 3.5 states/eV per cell
* ΔE_f (raw): 2.2 eV per formula unit
* E_tot: -3.806 eV/atom
* space group: P4/mmm

=====

FeNiTe2 | PBE | optimized geometry

a = 4.5593 Å, b = 4.3351 Å, c = 4.3351 Å
α = 72.25°, β = 90.00°, γ = 90.00°
Sites, in units of the cell vectors:
Fe1 0.0000 0.0000 0.0000
Ni1 0.5000 0.1856 0.1856
Te1 0.0000 0.3701 0.3701
Te2 0.5000 0.8153 0.8153

## Properties
* N(E_F): 4.9 states/eV per cell
* ΔE_f (raw): 0.2 eV per formula unit
* E_tot: -5.084 eV/atom
* space group: Amm2

=====

TiNbOs | PBE | optimized geometry

a = 4.0514 Å, b = 4.0514 Å, c = 6.4126 Å
α = 90.00°, β = 90.00°, γ = 90.00°
Sites, in units of the cell vectors:
Ti1 0.2500 0.7500 0.0000
Ti2 0.7500 0.2500 0.0000
Nb1 0.2500 0.2500 0.3566
Nb2 0.7500 0.7500 0.6434
Os1 0.2500 0.2500 0.7418
Os2 0.7500 0.7500 0.2582

## Properties
* N(E_F): 5.3 states/eV per cell
* ΔE_f: -40 meV/atom
* E_tot: -9.771 eV/atom
* space group: P4/nmm